Model a:
Below is crystalline Rb2ScPbBr6 at its relaxed geometry, with properties calculated at the GGA-PBE level.

CIF file:
```
data_Rb2ScPbBr6
_symmetry_space_group_name_H-M 'I 4/m m m'
_symmetry_Int_Tables_number 139
_symmetry_space_group_name_Hall '-I 4 2'
_cell_length_a 8.158
_cell_length_b 8.158
_cell_length_c 11.525
_cell_angle_alpha 90.00
_cell_angle_beta 90.00
_cell_angle_gamma 90.00
loop_
_atom_site_label
_atom_site_fract_x
_atom_site_fract_y
_atom_site_fract_z
_atom_site_occupancy
Rb1 0.000 0.500 0.250 1
Sc1 0.000 0.000 0.000 1
Pb1 0.000 0.000 0.500 1
Br1 0.000 0.000 0.235 1
Br2 0.235 0.235 0.000 1
```

Model b:
Below is crystalline Rb2ScPbBr6 at its relaxed geometry, with properties calculated at the GGA-PBE level.

CIF file:
```
data_Rb2ScPbBr6
_symmetry_space_group_name_H-M 'P -1'
_symmetry_Int_Tables_number 2
_cell_length_a 7.449
_cell_length_b 7.721
_cell_length_c 7.874
_cell_angle_alpha 116.37
_cell_angle_beta 105.90
_cell_angle_gamma 92.39
loop_
_symmetry_equiv_pos_as_xyz
'x,y,z'
'-x,-y,-z'
loop_
_atom_site_label
_atom_site_fract_x
_atom_site_fract_y
_atom_site_fract_z
_atom_site_occupancy
Rb1 0.221 0.214 0.437 1
Sc1 0.000 0.500 0.000 1
Pb1 0.500 0.000 0.000 1
Br1 0.168 0.185 0.866 1
Br2 0.172 0.651 0.822 1
Br3 0.284 0.686 0.341 1
```

Going by the computed energies, the most stable comes first: model b, model a.

Model a:
Below is crystalline RbPb2WBr at its relaxed geometry, with properties calculated at the GGA-PBE level.

CIF file:
```
data_RbPb2WBr
_symmetry_space_group_name_H-M 'P 4/m m m'
_symmetry_Int_Tables_number 123
_symmetry_space_group_name_Hall '-P 4 2'
_cell_length_a 5.395
_cell_length_b 5.395
_cell_length_c 5.821
_cell_angle_alpha 90.00
_cell_angle_beta 90.00
_cell_angle_gamma 90.00
loop_
_atom_site_label
_atom_site_fract_x
_atom_site_fract_y
_atom_site_fract_z
_atom_site_occupancy
Rb1 0.000 0.000 0.000 1
Pb1 0.000 0.500 0.500 1
W1 0.500 0.500 0.500 1
Br1 0.500 0.500 0.000 1
```

Model b:
Below is crystalline RbPb2WBr at its relaxed geometry, with properties calculated at the GGA-PBE level.

CIF file:
```
data_RbPb2WBr
_symmetry_space_group_name_H-M 'P 4/m m m'
_symmetry_Int_Tables_number 123
_symmetry_space_group_name_Hall '-P 4 2'
_cell_length_a 6.089
_cell_length_b 6.089
_cell_length_c 4.728
_cell_angle_alpha 90.00
_cell_angle_beta 90.00
_cell_angle_gamma 90.00
loop_
_atom_site_label
_atom_site_fract_x
_atom_site_fract_y
_atom_site_fract_z
_atom_site_occupancy
Rb1 0.000 0.000 0.000 1
Pb1 0.000 0.500 0.500 1
W1 0.500 0.500 0.000 1
Br1 0.500 0.500 0.500 1
```

Going by the computed energies, the most stable comes first: model a, model b.

Model a:
Below is crystalline RePbBr2 at its relaxed geometry, with properties calculated at the GGA-PBE level.

CIF file:
```
data_RePbBr2
_symmetry_space_group_name_H-M 'I -4 m 2'
_symmetry_Int_Tables_number 119
_symmetry_space_group_name_Hall 'I -4 -2'
_cell_length_a 4.263
_cell_length_b 4.263
_cell_length_c 11.647
_cell_angle_alpha 90.00
_cell_angle_beta 90.00
_cell_angle_gamma 90.00
loop_
_atom_site_label
_atom_site_fract_x
_atom_site_fract_y
_atom_site_fract_z
_atom_site_occupancy
Re1 0.000 0.000 0.000 1
Pb1 0.000 0.500 0.250 1
Br1 0.000 0.000 0.500 1
Br2 0.000 0.500 0.750 1
```

Model b:
Below is crystalline RePbBr2 at its relaxed geometry, with properties calculated at the GGA-PBE level.

CIF file:
```
data_RePbBr2
_symmetry_space_group_name_H-M 'C 1 2/m 1'
_symmetry_Int_Tables_number 12
_cell_length_a 14.847
_cell_length_b 3.256
_cell_length_c 4.957
_cell_angle_alpha 90.00
_cell_angle_beta 109.32
_cell_angle_gamma 90.00
loop_
_symmetry_equiv_pos_as_xyz
'x,y,z'
'-x,-y,-z'
'-x,y,-z'
'x,-y,z'
'x+1/2,y+1/2,z'
'-x+1/2,-y+1/2,-z'
'-x+1/2,y+1/2,-z'
'x+1/2,-y+1/2,z'
loop_
_atom_site_label
_atom_site_fract_x
_atom_site_fract_y
_atom_site_fract_z
_atom_site_occupancy
Re1 0.000 0.000 0.000 1
Pb1 0.000 0.500 0.500 1
Br1 0.150 0.500 0.150 1
```

Going by the computed energies, the most stable comes first: model b, model a.

Model a:
Below is crystalline RePbBr2 at its relaxed geometry, with properties calculated at the GGA-PBE level.

CIF file:
```
data_RePbBr2
_symmetry_space_group_name_H-M 'I 4/m m m'
_symmetry_Int_Tables_number 139
_symmetry_space_group_name_Hall '-I 4 2'
_cell_length_a 4.889
_cell_length_b 4.889
_cell_length_c 8.848
_cell_angle_alpha 90.00
_cell_angle_beta 90.00
_cell_angle_gamma 90.00
loop_
_atom_site_label
_atom_site_fract_x
_atom_site_fract_y
_atom_site_fract_z
_atom_site_occupancy
Re1 0.000 0.000 0.000 1
Pb1 0.000 0.000 0.500 1
Br1 0.000 0.500 0.250 1
```

Model b:
Below is crystalline RePbBr2 at its relaxed geometry, with properties calculated at the GGA-PBE level.

CIF file:
```
data_RePbBr2
_symmetry_space_group_name_H-M 'P 1 2/m 1'
_symmetry_Int_Tables_number 10
_cell_length_a 4.883
_cell_length_b 3.356
_cell_length_c 6.039
_cell_angle_alpha 90.00
_cell_angle_beta 94.64
_cell_angle_gamma 90.00
loop_
_symmetry_equiv_pos_as_xyz
'x,y,z'
'-x,-y,-z'
'-x,y,-z'
'x,-y,z'
loop_
_atom_site_label
_atom_site_fract_x
_atom_site_fract_y
_atom_site_fract_z
_atom_site_occupancy
Re1 0.000 0.000 0.000 1
Pb1 0.000 0.500 0.500 1
Br1 0.500 0.000 0.500 1
Br2 0.500 0.500 0.000 1
```

Going by the computed energies, the most stable comes first: model b, model a.